Record 1
Material: V2SiRh2
Method: DFT, PBE
State: relaxed Values from VASP.

**SG**: P4/mbm, No. 127
**Size of the total moment**: 0.0000 μB/atom
**Uncorrected formation energy**: -201 meV per atom

Quantum ESPRESSO input file:
```
&SYSTEM
  ibrav = 0, nat = 10, ntyp = 3
/
ATOMIC_SPECIES
V 50.94 V.upf
Si 28.09 Si.upf
Rh 102.91 Rh.upf
ATOMIC_POSITIONS crystal
V 0.1647 0.3353 0.0000
V 0.3353 0.8353 0.0000
V 0.6647 0.1647 0.0000
V 0.8353 0.6647 0.0000
Si 0.0000 0.0000 0.5000
Si 0.5000 0.5000 0.5000
Rh 0.1324 0.6324 0.5000
Rh 0.3676 0.1324 0.5000
Rh 0.6324 0.8676 0.5000
Rh 0.8676 0.3676 0.5000
CELL_PARAMETERS angstrom
7.1965 0.0000 0.0000
0.0000 7.1965 0.0000
0.0000 0.0000 2.7814
```

***

Record 2
Material: V5Si2Rh12
Method: DFT, PBE
State: relaxed Values from VASP.

**SG**: C2/m, No. 12
**Size of the total moment**: 0.0000 μB/atom
**Uncorrected formation energy**: -231 meV per atom

Quantum ESPRESSO input file:
```
&SYSTEM
  ibrav = 0, nat = 19, ntyp = 3
/
ATOMIC_SPECIES
V 50.94 V.upf
Si 28.09 Si.upf
Rh 102.91 Rh.upf
ATOMIC_POSITIONS crystal
V 0.0000 0.0000 0.0000
V 0.2352 0.2352 0.4734
V 0.2387 0.2387 0.9974
V 0.7613 0.7613 0.0026
V 0.7648 0.7648 0.5266
Si 0.3040 0.6960 0.5000
Si 0.6960 0.3040 0.5000
Rh 0.0560 0.0560 0.3624
Rh 0.0943 0.5809 0.3036
Rh 0.1201 0.5843 0.8438
Rh 0.4157 0.8799 0.1562
Rh 0.4191 0.9057 0.6964
Rh 0.4841 0.4841 0.1820
Rh 0.5159 0.5159 0.8180
Rh 0.5809 0.0943 0.3036
Rh 0.5843 0.1201 0.8438
Rh 0.8799 0.4157 0.1562
Rh 0.9057 0.4191 0.6964
Rh 0.9440 0.9440 0.6376
CELL_PARAMETERS angstrom
7.5879 -2.8445 0.0000
7.5879 2.8445 0.0000
-2.1856 0.0000 6.5123
```

***

Record 3
Material: VSiRh
Method: DFT, PBE
State: relaxed Values from VASP.

**SG**: P-6m2, No. 187
**Size of the total moment**: 0.0000 μB/atom
**Uncorrected formation energy**: -599 meV per atom

Quantum ESPRESSO input file:
```
&SYSTEM
  ibrav = 0, nat = 3, ntyp = 3
/
ATOMIC_SPECIES
V 50.94 V.upf
Si 28.09 Si.upf
Rh 102.91 Rh.upf
ATOMIC_POSITIONS crystal
V 0.0000 0.0000 0.0000
Si 0.3333 0.6667 0.5000
Rh 0.6667 0.3333 0.5000
CELL_PARAMETERS angstrom
4.1294 0.0000 0.0000
-2.0647 3.5761 0.0000
0.0000 0.0000 2.7325
```